Computed, not measured: a relaxed MgZnCoSb crystal at the PBE-GGA level of DFT.

a b c (Å): 4.5460 4.5460 4.5460
angles (deg): 60.00 60.00 60.00
Atoms (fractional coordinates):
1 Mg 0.0000 0.0000 0.0000
2 Zn 0.7500 0.7500 0.7500
3 Co 0.5000 0.5000 0.5000
4 Sb 0.2500 0.2500 0.2500

Summary:
total moment	0.0	Bohr magnetons per cell
crystal system	cubic
energy	-13.5	eV per formula unit